# 1
Here is an optimized crystal structure of Sn2OsN from Alexandria via LeMat-Bulk. Energies are from PBE-GGA.

abc: 6.1998 6.1998 5.8039
angles: 57.72 57.72 90.00
Site moments in Bohr magnetons follow the coordinates.
Element x y z (fractional)
Os 0.0000 0.0000 0.0000  0.11
Os 0.7500 0.2500 0.5000  0.11
Sn 0.5641 0.1250 0.2500  0.00
Sn 0.1859 0.6250 0.2500  0.00
Sn 0.3750 0.4359 0.7500  0.00
Sn 0.8750 0.8141 0.7500  0.00
N 0.5000 0.5000 0.0000  0.00
N 0.2500 0.7500 0.5000  0.00

- Energy: -6.16 eV per atom
- Crystal system: tetragonal

---

# 2
Here is an optimized crystal structure of La4PmIn from Alexandria via LeMat-Bulk. Energies are from PBE-GGA.

abc: 6.2827 7.1034 8.9065
angles: 90.00 89.00 90.00
Element x y z (fractional)
La 0.3397 0.0073 0.6596
La 0.6603 0.9927 0.3404
La 0.6603 0.5073 0.3404
La 0.3397 0.4927 0.6596
La 0.0000 0.5000 0.0000
La 0.0000 0.0000 0.0000
La 0.5203 0.2500 0.9823
La 0.4797 0.7500 0.0177
Pm 0.8417 0.7500 0.6678
Pm 0.1583 0.2500 0.3322
In 0.8427 0.2500 0.6544
In 0.1573 0.7500 0.3456

- Energy: -4.70 eV per atom
- Crystal system: monoclinic
- Energy above the lowest structure with this stoichiometry: 0.000 eV/atom

---

# 3
Here is an optimized crystal structure of Tb7PrTh2 from Alexandria via LeMat-Bulk. Energies are from PBE-GGA.

abc: 5.5983 8.3773 8.3667
angles: 85.10 107.55 107.55
Element x y z (fractional)
Tb 0.0002 0.6627 0.3377
Tb 0.9998 0.3373 0.6623
Tb 0.2533 0.1016 0.4026
Tb 0.7467 0.8984 0.5974
Tb 0.2530 0.4025 0.1014
Tb 0.7470 0.5975 0.8986
Tb 0.5000 0.5000 0.5000
Pr 0.0000 0.0000 0.0000
Th 0.4997 0.8427 0.1567
Th 0.5003 0.1573 0.8433

- Energy: -4.77 eV per atom
- Crystal system: triclinic

---

# 4
Here is an optimized crystal structure of NaTl2Tc from Alexandria via LeMat-Bulk. Energies are from PBE-GGA.

abc: 4.8986 4.8986 4.8986
angles: 60.00 60.00 60.00
Element x y z (fractional)
Na 0.0000 0.0000 0.0000
Tl 0.2500 0.2500 0.2500
Tl 0.7500 0.7500 0.7500
Tc 0.5000 0.5000 0.5000

- Energy: -3.54 eV per atom
- Crystal system: cubic
- Energy above the lowest structure with this stoichiometry: 0.000 eV/atom

---

# 5
Here is an optimized crystal structure of Al3V12Mo from Alexandria via LeMat-Bulk. Energies are from PBE-GGA.

abc: 4.7937 4.8649 9.5753
angles: 90.00 90.00 90.00
Element x y z (fractional)
Al 0.5000 0.5000 0.2487
Al 0.5000 0.5000 0.7513
Al 0.0000 0.0000 0.0000
V 0.5000 0.0000 0.3731
V 0.5000 0.0000 0.8749
V 0.7601 0.5000 0.0000
V 0.7520 0.5000 0.5000
V 0.0000 0.7521 0.2498
V 0.0000 0.7521 0.7502
V 0.5000 0.0000 0.1251
V 0.5000 0.0000 0.6269
V 0.2399 0.5000 0.0000
V 0.2480 0.5000 0.5000
V 0.0000 0.2479 0.2498
V 0.0000 0.2479 0.7502
Mo 0.0000 0.0000 0.5000

- Energy: -8.34 eV per atom
- Crystal system: orthorhombic

---

# 6
Here is an optimized crystal structure of Pm6ErTm3 from Alexandria via LeMat-Bulk. Energies are from PBE-GGA.

abc: 6.3934 11.6700 11.6700
angles: 130.60 90.00 90.00
Element x y z (fractional)
Pm 0.0711 0.7402 0.6205
Pm 0.5711 0.6205 0.7402
Pm 0.3223 0.4554 0.8946
Pm 0.8223 0.8946 0.4554
Pm 0.3141 0.9839 0.0161
Pm 0.7947 0.3006 0.6994
Pm 0.2947 0.6994 0.3006
Pm 0.8141 0.0161 0.9839
Pm 0.3223 0.1054 0.5446
Pm 0.8223 0.5446 0.1054
Pm 0.0711 0.3795 0.2598
Pm 0.5711 0.2598 0.3795
Er 0.0158 0.1582 0.8418
Er 0.5158 0.8418 0.1582
Tm 0.4913 0.9573 0.7072
Tm 0.9913 0.7072 0.9573
Tm 0.0913 0.4195 0.5805
Tm 0.5913 0.5805 0.4195
Tm 0.9913 0.0427 0.2928
Tm 0.4913 0.2928 0.0427

- Energy: -4.52 eV per atom
- Crystal system: orthorhombic
- Energy above the lowest structure with this stoichiometry: 0.000 eV/atom